[1]
AcDy4Ho2Er after structural relaxation, computed with PBE-GGA.

Lattice parameters (Å, degrees): 5.056 5.078 10.167 90.00 90.00 90.00
Fractional coordinates of all 8 atoms:
Ac: 0.000 0.000 0.000
Dy: 0.000 0.500 0.259
Dy: 0.000 0.500 0.741
Dy: 0.500 0.000 0.259
Dy: 0.500 0.000 0.741
Ho: 0.000 0.000 0.500
Ho: 0.500 0.500 0.000
Er: 0.500 0.500 0.500



[2]
CuBIr2 after structural relaxation, computed with PBE-GGA.

Lattice parameters (Å, degrees): 2.746 2.746 6.313 90.00 90.00 90.00
Fractional coordinates of all 4 atoms:
Cu: 0.000 0.000 0.000
B: 0.000 0.000 0.500
Ir: 0.500 0.500 0.293
Ir: 0.500 0.500 0.707



[3]
Sm5TmTl8 after structural relaxation, computed with PBE-GGA.

Lattice parameters (Å, degrees): 8.129 8.129 8.129 109.06 109.06 110.31
Fractional coordinates of all 14 atoms:
Sm: 0.000 0.000 0.000
Sm: 0.253 0.129 0.636
Sm: 0.383 0.747 0.876
Sm: 0.493 0.617 0.364
Sm: 0.871 0.507 0.124
Tm: 0.750 0.250 0.500
Tl: 0.112 0.375 0.908
Tl: 0.114 0.371 0.411
Tl: 0.296 0.886 0.257
Tl: 0.466 0.204 0.092
Tl: 0.625 0.534 0.737
Tl: 0.629 0.039 0.743
Tl: 0.796 0.888 0.263
Tl: 0.961 0.704 0.589



[4]
LaPm3C8 after structural relaxation, computed with PBE-GGA.

Lattice parameters (Å, degrees): 6.449 6.449 6.449 112.16 112.16 104.21
Fractional coordinates of all 12 atoms:
La: 0.000 0.000 0.000
Pm: 0.250 0.750 0.500
Pm: 0.500 0.500 0.000
Pm: 0.750 0.250 0.500
C: 0.074 0.412 0.000
C: 0.126 0.126 0.539
C: 0.412 0.074 0.000
C: 0.414 0.874 0.000
C: 0.586 0.586 0.461
C: 0.588 0.588 0.663
C: 0.874 0.414 0.000
C: 0.926 0.926 0.337



[5]
Dy7Te2Rh2 after structural relaxation, computed with PBE-GGA.

Lattice parameters (Å, degrees): 9.444 9.444 9.444 156.03 65.97 119.57
Fractional coordinates of all 11 atoms:
Dy: 0.000 0.000 0.000
Dy: 0.287 0.418 0.869
Dy: 0.308 0.625 0.683
Dy: 0.549 0.418 0.131
Dy: 0.618 0.265 0.352
Dy: 0.913 0.265 0.648
Dy: 0.942 0.625 0.317
Te: 0.265 0.765 0.500
Te: 0.664 0.664 0.000
Rh: 0.169 0.930 0.239
Rh: 0.692 0.930 0.761



[6]
AlB2IrSe after structural relaxation, computed with PBE-GGA.

Lattice parameters (Å, degrees): 3.993 3.993 5.002 90.00 90.00 90.00
Fractional coordinates of all 5 atoms:
Al: 0.000 0.000 0.000
B: 0.000 0.500 0.000
B: 0.500 0.000 0.000
Ir: 0.500 0.500 0.500
Se: 0.000 0.000 0.500



[7]
Cr2CuTe after structural relaxation, computed with PBE-GGA.

Lattice parameters (Å, degrees): 8.567 8.567 8.567 20.36 20.36 20.36
Fractional coordinates of all 4 atoms:
Cr: 0.000 0.000 0.000
Cr: 0.271 0.271 0.271
Cu: 0.744 0.744 0.744
Te: 0.514 0.514 0.514



[8]
HfIn6F12 after structural relaxation, computed with PBE-GGA.

Lattice parameters (Å, degrees): 7.535 7.535 7.535 102.82 102.82 102.82
Fractional coordinates of all 19 atoms:
Hf: 0.000 0.000 0.000
In: 0.164 0.312 0.584
In: 0.312 0.584 0.164
In: 0.416 0.836 0.688
In: 0.584 0.164 0.312
In: 0.688 0.416 0.836
In: 0.836 0.688 0.416
F: 0.002 0.082 0.274
F: 0.082 0.274 0.002
F: 0.208 0.526 0.415
F: 0.274 0.002 0.082
F: 0.415 0.208 0.526
F: 0.474 0.585 0.792
F: 0.526 0.415 0.208
F: 0.585 0.792 0.474
F: 0.726 0.998 0.918
F: 0.792 0.474 0.585
F: 0.918 0.726 0.998
F: 0.998 0.918 0.726



| no. | total magnetic moment (μB per cell) | E (eV/atom) |
| --- | --- | --- |
| 1 | 0.0 | -4.486 |
| 2 | 0.0 | -7.043 |
| 3 | 0.0 | -3.625 |
| 4 | 0.0 | -7.620 |
| 5 | 0.0 | -5.712 |
| 6 | 0.0 | -4.265 |
| 7 | 0.1 | -6.063 |
| 8 | 0.0 | -4.897 |